1.
{"formula": "Ta2SbIr", "functional": "PBE-GGA", "state": "relaxed", "lattice_angstrom": [[2.223, -3.912, -1.210], [2.616, -2.255, 3.127], [-1.414, -4.103, 1.695]], "species": ["Ta", "Ta", "Sb", "Ir"], "frac_coords": [[0.000, 0.000, 0.000], [0.750, 0.750, 0.750], [0.500, 0.500, 0.500], [0.250, 0.250, 0.250]], "space_group": "F-43m, No. 216"}


2.
{"formula": "NaCuPS4", "functional": "PBE-GGA", "state": "relaxed", "lattice_angstrom": [[-3.672, 3.672, 6.052], [3.672, -3.672, 6.052], [3.672, 3.672, -6.052]], "species": ["S", "Na", "S", "S", "Cu", "P", "P", "S", "S", "S", "Na", "S", "S", "Cu"], "frac_coords": [[0.011, 0.511, 0.804], [0.250, 0.250, 0.000], [0.207, 0.011, 0.500], [0.989, 0.489, 0.196], [0.500, 0.000, 0.500], [0.250, 0.750, 0.500], [0.750, 0.250, 0.500], [0.793, 0.989, 0.500], [0.511, 0.707, 0.500], [0.489, 0.293, 0.500], [0.750, 0.750, 0.000], [0.293, 0.793, 0.804], [0.707, 0.207, 0.196], [0.000, 0.500, 0.500]], "space_group": "I4/mcm, No. 140"}


3.
{"formula": "NbReAsAu", "functional": "PBE-GGA", "state": "relaxed", "lattice_angstrom": [[3.466, -2.578, 1.562], [-0.437, -4.569, 0.182], [2.378, -2.652, -2.900]], "species": ["As", "Au", "Nb", "Re"], "frac_coords": [[0.000, 0.000, 0.000], [0.750, 0.750, 0.750], [0.500, 0.500, 0.500], [0.250, 0.250, 0.250]], "space_group": "F-43m, No. 216", "relative_energy_mev_per_atom": 221}


4.
{"formula": "Gd2Ga", "functional": "PBE-GGA", "state": "relaxed", "lattice_angstrom": [[-5.680, -2.678, 6.307], [-2.526, 5.644, 6.401], [-8.322, 3.152, 0.123]], "species": ["Gd", "Gd", "Ga", "Gd", "Ga", "Gd"], "frac_coords": [[0.000, 0.000, 0.500], [0.000, 0.500, 0.000], [0.875, 0.875, 0.875], [0.000, 0.000, 0.000], [0.125, 0.125, 0.125], [0.500, 0.000, 0.000]], "space_group": "Fd-3m, No. 227"}


5.
{"formula": "TmAsPtO", "functional": "PBE-GGA", "state": "relaxed", "lattice_angstrom": [[4.770, 0.000, 0.000], [0.000, 4.556, 0.000], [0.000, 0.000, 6.223]], "species": ["Tm", "O", "Pt", "As", "Pt", "Tm", "O", "As"], "frac_coords": [[0.500, 0.223, 0.097], [0.500, 0.351, 0.436], [0.000, 0.617, 0.935], [0.000, 0.122, 0.785], [0.000, 0.383, 0.435], [0.500, 0.777, 0.597], [0.500, 0.649, 0.936], [0.000, 0.878, 0.285]], "space_group": "Pmc2_1, No. 26", "relative_energy_mev_per_atom": 415}


6.
{"formula": "ZrPPbO", "functional": "PBE-GGA", "state": "relaxed", "lattice_angstrom": [[-2.916, 0.194, -2.590], [0.595, -8.181, -1.284], [-4.081, -1.006, 4.518]], "species": ["Zr", "Zr", "O", "P", "Pb", "P", "O", "Pb"], "frac_coords": [[0.000, 0.851, 0.999], [0.000, 0.149, 0.499], [0.000, 0.003, 0.753], [0.500, 0.344, 0.492], [0.500, 0.324, 0.009], [0.500, 0.656, 0.992], [0.000, 0.997, 0.253], [0.500, 0.676, 0.509]], "space_group": "Pmc2_1, No. 26", "relative_energy_mev_per_atom": 0}


no.,volume (Å³/cell),calculated total energy (eV per cell)
1,71.52,-36.040
2,326.50,-60.503
3,68.54,-28.607
4,498.42,-17.339
5,135.23,-51.167
6,200.04,-54.923